1.
A relaxed DyTh2Bi3 crystal. Source: the Alexandria database, functional GGA-PBE.

Results
* crystal system: orthorhombic
* VASP energy: -5.84 eV per atom
* energy above the lowest structure with this stoichiometry: 0 kJ/mol of formula units
* ΔE_f: -63.38 kJ per mole of atoms
* mass density: 10.35 g/cm3

abc: 4.546 6.455 13.706
angles: 90.00 90.00 90.00
Space group Immm (No. 71)
One atom of each set of equivalent atoms:
Dy (0.000, 0.000, 0.000)
Th (0.000, 0.000, 0.332)
Bi (0.000, 0.500, 0.000)
Bi (0.000, 0.500, 0.339)

=====

2.
A relaxed Dy2ThBi3 crystal. Source: the Alexandria database, functional GGA-PBE.

Results
* crystal system: orthorhombic
* VASP energy: -5.48 eV per atom
* ΔE_f: -73.70 kJ per mole of atoms
* mass density: 10.03 g/cm3

abc: 4.529 6.413 13.491
angles: 90.00 90.00 90.00
Space group Immm (No. 71)
One atom of each set of equivalent atoms:
Dy (0.000, 0.000, 0.165)
Th (0.000, 0.000, 0.500)
Bi (0.000, 0.500, 0.171)
Bi (0.000, 0.500, 0.500)

=====

3.
A relaxed DyTh2Bi4 crystal. Source: the Alexandria database, functional GGA-PBE.

Results
* crystal system: tetragonal
* VASP energy: -5.62 eV per atom
* ΔE_f: -60.72 kJ per mole of atoms
* mass density: 10.96 g/cm3

abc: 9.561 9.561 9.693
angles: 90.00 90.00 90.00
Space group I-42d (No. 122)
One atom of each set of equivalent atoms:
Dy (0.000, 0.000, 0.000)
Th (0.121, 0.250, 0.625)
Bi (0.079, 0.176, 0.293)

=====

4.
A relaxed DyTmTh2Bi5 crystal. Source: the Alexandria database, functional GGA-PBE.

Results
* crystal system: tetragonal
* VASP energy: -4.80 eV per atom
* ΔE_f: 1.41 kJ per mole of atoms
* mass density: 9.04 g/cm3

abc: 5.372 5.372 11.719
angles: 90.00 90.00 90.00
Space group P4/mmm (No. 123)
One atom of each set of equivalent atoms:
Dy (0.000, 0.000, 0.000)
Tm (0.000, 0.000, 0.500)
Th (0.500, 0.500, 0.296)
Bi (0.000, 0.000, 0.248)
Bi (0.000, 0.500, 0.500)
Bi (0.500, 0.500, 0.000)

=====

5.
A relaxed Dy3TmTh2Bi6 crystal. Source: the Alexandria database, functional GGA-PBE.

Results
* crystal system: monoclinic
* VASP energy: -5.45 eV per atom
* ΔE_f: -72.14 kJ per mole of atoms
* mass density: 10.11 g/cm3

abc: 19.656 4.521 9.015
angles: 90.00 103.21 90.00
Space group C2/m (No. 12)
One atom of each set of equivalent atoms:
Dy (0.000, 0.000, 0.000)
Dy (0.168, 0.500, 0.334)
Tm (0.000, 0.000, 0.500)
Th (0.165, 0.500, 0.831)
Bi (0.003, 0.500, 0.254)
Bi (0.165, 0.000, 0.089)
Bi (0.165, 0.000, 0.576)

=====

6.
A relaxed Dy2Tm3ThBi6 crystal. Source: the Alexandria database, functional GGA-PBE.

Results
* crystal system: monoclinic
* VASP energy: -5.22 eV per atom
* ΔE_f: -74.88 kJ per mole of atoms
* mass density: 10.11 g/cm3

abc: 19.484 4.483 8.952
angles: 90.00 103.16 90.00
Space group C2/m (No. 12)
One atom of each set of equivalent atoms:
Dy (0.168, 0.000, 0.335)
Tm (0.000, 0.500, 0.500)
Tm (0.166, 0.000, 0.831)
Th (0.000, 0.500, 0.000)
Bi (0.000, 0.000, 0.259)
Bi (0.166, 0.500, 0.585)
Bi (0.170, 0.500, 0.082)

=====

7.
A relaxed Dy3Tm2ThBi6 crystal. Source: the Alexandria database, functional GGA-PBE.

Results
* crystal system: monoclinic
* VASP energy: -5.24 eV per atom
* ΔE_f: -76.00 kJ per mole of atoms
* mass density: 10.03 g/cm3

abc: 7.767 13.445 7.774
angles: 90.00 109.52 90.00
Space group C2/m (No. 12)
One atom of each set of equivalent atoms:
Dy (0.000, 0.000, 0.000)
Dy (0.000, 0.336, 0.000)
Tm (0.000, 0.168, 0.500)
Th (0.000, 0.500, 0.500)
Bi (0.242, 0.000, 0.748)
Bi (0.246, 0.170, 0.248)

=====

8.
A relaxed Dy2TmThBi4 crystal. Source: the Alexandria database, functional GGA-PBE.

Results
* crystal system: monoclinic
* VASP energy: -5.35 eV per atom
* ΔE_f: -74.38 kJ per mole of atoms
* mass density: 10.07 g/cm3

abc: 7.781 4.507 7.791
angles: 90.00 109.49 90.00
Space group P2/m (No. 10)
One atom of each set of equivalent atoms:
Dy (0.000, 0.000, 0.000)
Dy (0.500, 0.500, 0.000)
Tm (0.000, 0.500, 0.500)
Th (0.500, 0.000, 0.500)
Bi (0.242, 0.500, 0.245)
Bi (0.245, 0.000, 0.751)